1.
## TbPm8 (GGA-PBE)

Data for a geometry-optimized TbPm8 structure.

Unit cell a=10.919 b=10.919 c=5.149 alpha=90.00 beta=90.00 gamma=90.00
Space group I4/mmm (No. 139)
Asymmetric unit:
Tb: 0.000 0.000 0.000 (multiplicity 2)
Pm: 0.000 0.333 0.000 (multiplicity 8)
Pm: 0.166 0.166 0.500 (multiplicity 8)

Formation enthalpy at 0 K, eV/atom: 0.014
Total magnetic moment, μB per formula unit: 0.000

=====

2.
## InIr2W (GGA-PBE)

Data for a geometry-optimized InIr2W structure.

Unit cell a=4.102 b=4.102 c=7.678 alpha=90.00 beta=90.00 gamma=90.00
Space group I4/mmm (No. 139)
Asymmetric unit:
In: 0.000 0.000 0.000 (multiplicity 2)
Ir: 0.000 0.500 0.250 (multiplicity 4)
W: 0.000 0.000 0.500 (multiplicity 2)

Formation enthalpy at 0 K, eV/atom: 0.071
Total magnetic moment, μB per formula unit: 0.774

=====

3.
## Tb4Nd6Pu (GGA-PBE)

Data for a geometry-optimized Tb4Nd6Pu structure.

Unit cell a=5.894 b=9.688 c=25.865 alpha=90.00 beta=90.00 gamma=90.00
Space group Cmcm (No. 63)
Asymmetric unit:
Tb: 0.000 0.049 0.123 (multiplicity 8)
Tb: 0.000 0.351 0.044 (multiplicity 8)
Nd: 0.000 0.000 0.000 (multiplicity 4)
Nd: 0.000 0.043 0.250 (multiplicity 4)
Nd: 0.000 0.296 0.603 (multiplicity 8)
Nd: 0.000 0.380 0.182 (multiplicity 8)
Pu: 0.000 0.293 0.750 (multiplicity 4)

Formation enthalpy at 0 K, eV/atom: 0.170
Total magnetic moment, μB per formula unit: 6.463

=====

4.
## Ca2Cd5Hg12 (GGA-PBE)

Data for a geometry-optimized Ca2Cd5Hg12 structure.

Unit cell a=15.805 b=10.382 c=6.022 alpha=90.00 beta=102.78 gamma=90.00
Space group C2/m (No. 12)
Asymmetric unit:
Ca: 0.000 0.218 0.000 (multiplicity 4)
Cd: 0.000 0.000 0.500 (multiplicity 2)
Cd: 0.152 0.500 0.827 (multiplicity 4)
Cd: 0.206 0.000 0.464 (multiplicity 4)
Hg: 0.054 0.500 0.269 (multiplicity 4)
Hg: 0.104 0.249 0.585 (multiplicity 8)
Hg: 0.142 0.000 0.954 (multiplicity 4)
Hg: 0.200 0.290 0.191 (multiplicity 8)

Formation enthalpy at 0 K, eV/atom: -0.132
Total magnetic moment, μB per formula unit: 0.000

=====

5.
## CsBa2CoN (GGA-PBE)

Data for a geometry-optimized CsBa2CoN structure.

Unit cell a=6.415 b=6.415 c=4.590 alpha=90.00 beta=90.00 gamma=90.00
Space group P4/mmm (No. 123)
Asymmetric unit:
Cs: 0.000 0.000 0.000 (multiplicity 1)
Ba: 0.000 0.500 0.000 (multiplicity 2)
Co: 0.000 0.000 0.500 (multiplicity 1)
N: 0.500 0.500 0.500 (multiplicity 1)

Total magnetic moment, μB per formula unit: 0.110
Energy relative to the elements, uncorrected, kJ/mol of formula units: 883

=====

6.
## La4SiAg (GGA-PBE)

Data for a geometry-optimized La4SiAg structure.

Unit cell a=8.981 b=8.981 c=8.981 alpha=90.00 beta=90.00 gamma=90.00
Space group F-43m (No. 216)
Asymmetric unit:
La: 0.123 0.123 0.123 (multiplicity 16)
Si: 0.250 0.250 0.750 (multiplicity 4)
Ag: 0.000 0.000 0.500 (multiplicity 4)

Total magnetic moment, μB per formula unit: 0.000
E above lowest polymorph, meV/atom: 662
Energy relative to the elements, uncorrected, kJ/mol of formula units: 222

=====

7.
## TiBiPb2S (GGA-PBE)

Data for a geometry-optimized TiBiPb2S structure.

Unit cell a=5.489 b=5.489 c=5.220 alpha=90.00 beta=90.00 gamma=90.00
Space group P4/mmm (No. 123)
Asymmetric unit:
Ti: 0.000 0.000 0.000 (multiplicity 1)
Bi: 0.000 0.000 0.500 (multiplicity 1)
Pb: 0.000 0.500 0.000 (multiplicity 2)
S: 0.500 0.500 0.500 (multiplicity 1)

Total magnetic moment, μB per formula unit: 0.189
Energy relative to the elements, uncorrected, kJ/mol of formula units: 195

=====

8.
## PrZrTe2 (GGA-PBE)

Data for a geometry-optimized PrZrTe2 structure.

Unit cell a=3.701 b=3.701 c=7.586 alpha=90.00 beta=90.00 gamma=90.00
Space group P4/mmm (No. 123)
Asymmetric unit:
Pr: 0.000 0.000 0.000 (multiplicity 1)
Zr: 0.000 0.000 0.500 (multiplicity 1)
Te: 0.500 0.500 0.274 (multiplicity 2)

Total magnetic moment, μB per formula unit: 0.000
E above lowest polymorph, meV/atom: 0
Energy relative to the elements, uncorrected, kJ/mol of formula units: -385